[1]
## ZrSiW2 (GGA-PBE)

Data for a geometry-optimized ZrSiW2 structure.

Output
**N(E_F)**: 4.1 states/eV/f.u.
**Total magnetic moment**: 0.00 μB/f.u.
**E_form (uncorrected)**: 0.17 eV/atom
**Uncorrected energy**: -39.2 eV per cell

abc: 2.8234 2.8234 8.4265
angles: 90.00 90.00 90.00
Space group P4mm (No. 99)
One atom of each set of equivalent atoms:
Zr: 0.0000 0.0000 0.0000 [1 per cell]
Si: 0.5000 0.5000 0.2484 [1 per cell]
W: 0.0000 0.0000 0.4581 [1 per cell]
W: 0.5000 0.5000 0.7147 [1 per cell]

[2]
## Ce3SmPb4 (GGA-PBE)

Data for a geometry-optimized Ce3SmPb4 structure.

Output
**N(E_F)**: 18.8 states/eV/f.u.
**Formation energy**: -3.34 eV/f.u.
**Distance to the lowest polymorph of the same formula**: 0 meV per atom
**Total magnetic moment**: 3.74 μB/f.u.
**Uncorrected energy**: -81.4 eV per cell

abc: 14.7376 5.9342 5.9342
angles: 90.00 113.67 90.00
Space group C2/m (No. 12)
One atom of each set of equivalent atoms:
Ce: 0.0000 0.0000 0.0000 [2 per cell]
Ce: 0.2464 0.0000 0.2462 [4 per cell]
Sm: 0.0000 0.5000 0.5000 [2 per cell]
Pb: 0.1238 0.0000 0.6238 [4 per cell]
Pb: 0.1238 0.5000 0.1237 [4 per cell]

[3]
## NpFeSi2Ru (GGA-PBE)

Data for a geometry-optimized NpFeSi2Ru structure.

Output
**N(E_F)**: 12.3 states/eV/f.u.
**Total magnetic moment**: 3.08 μB/f.u.
**E_form (uncorrected)**: -0.48 eV/atom
**Uncorrected energy**: -87.8 eV per cell

abc: 4.0496 4.0496 9.6179
angles: 90.00 90.00 90.00
Space group I-4m2 (No. 119)
One atom of each set of equivalent atoms:
Np: 0.0000 0.0000 0.0000 [2 per cell]
Fe: 0.0000 0.5000 0.2500 [2 per cell]
Si: 0.0000 0.0000 0.3725 [4 per cell]
Ru: 0.0000 0.5000 0.7500 [2 per cell]

[4]
## CeHoThN3 (GGA-PBE)

Data for a geometry-optimized CeHoThN3 structure.

Output
**N(E_F)**: 4.6 states/eV/f.u.
**Total magnetic moment**: 1.26 μB/f.u.
**E_form (uncorrected)**: -1.38 eV/atom
**Uncorrected energy**: -102.4 eV per cell

abc: 5.9776 3.4342 9.6606
angles: 90.00 92.94 90.00
Space group P2_1/m (No. 11)
One atom of each set of equivalent atoms:
Ce: 0.2052 0.2500 0.1189 [2 per cell]
Ho: 0.2433 0.7500 0.4417 [2 per cell]
Th: 0.2686 0.2500 0.7560 [2 per cell]
N: 0.0118 0.7500 0.6486 [2 per cell]
N: 0.2156 0.7500 0.9469 [2 per cell]
N: 0.4868 0.2500 0.3428 [2 per cell]

[5]
## MgBe2Zn (GGA-PBE)

Data for a geometry-optimized MgBe2Zn structure.

Output
**N(E_F)**: 1.1 states/eV/f.u.
**Formation energy**: 1.25 eV/f.u.
**Distance to the lowest polymorph of the same formula**: 92 meV per atom
**Total magnetic moment**: 0.00 μB/f.u.
**Uncorrected energy**: -9.1 eV per cell

abc: 3.8342 3.8342 3.5161
angles: 90.00 90.00 90.00
Space group P4/mmm (No. 123)
One atom of each set of equivalent atoms:
Mg: 0.0000 0.0000 0.0000 [1 per cell]
Be: 0.0000 0.5000 0.5000 [2 per cell]
Zn: 0.5000 0.5000 0.0000 [1 per cell]

[6]
## Na2TiTeO5 (GGA-PBE)

Data for a geometry-optimized Na2TiTeO5 structure.

Output
**N(E_F)**: 0.0 states/eV/f.u.
**Total magnetic moment**: 0.00 μB/f.u.
**E_form (uncorrected)**: -1.83 eV/atom
**Uncorrected energy**: -219.7 eV per cell

abc: 3.2527 15.3193 11.4221
angles: 90.00 90.00 90.00
Space group Cmc2_1 (No. 36)
One atom of each set of equivalent atoms:
Na: 0.0000 0.0989 0.0000 [4 per cell]
Na: 0.0000 0.1494 0.4690 [4 per cell]
Ti: 0.0000 0.2565 0.7081 [4 per cell]
Te: 0.0000 0.4440 0.1953 [4 per cell]
O: 0.0000 0.1131 0.7843 [4 per cell]
O: 0.0000 0.2065 0.2875 [4 per cell]
O: 0.0000 0.3142 0.5801 [4 per cell]
O: 0.0000 0.3282 0.1270 [4 per cell]
O: 0.0000 0.4819 0.0350 [4 per cell]